1.
A plane-wave DFT calculation with GGA-PBE was carried out for an optimized crystal structure of Sc4Ga2C.

CIF file:
```
data_Sc4Ga2C
_chemical_formula_sum 'Sc8 Ga4 C2'
_space_group_name_H-M_alt 'I 4/m m m'
_space_group_IT_number 139
_space_group_name_Hall '-I 4 2'
_cell_length_a 4.490
_cell_length_b 4.490
_cell_length_c 13.599
_cell_angle_alpha 90.00
_cell_angle_beta 90.00
_cell_angle_gamma 90.00
loop_
_atom_site_label
_atom_site_type_symbol
_atom_site_fract_x
_atom_site_fract_y
_atom_site_fract_z
Sc1 Sc 0.000 0.000 0.167
Sc2 Sc 0.000 0.500 0.000
Ga1 Ga 0.000 0.000 0.372
C1 C 0.000 0.000 0.000
```

Its formation energy is -0.518 eV/atom. For the energy above the lowest structure with this stoichiometry, the calculation gives 0.000 eV per formula unit.



2.
A plane-wave DFT calculation with GGA-PBE was carried out for an optimized crystal structure of Ho2ZnAg.

CIF file:
```
data_Ho2ZnAg
_chemical_formula_sum 'Ho2 Zn1 Ag1'
_space_group_name_H-M_alt 'P 4/m m m'
_space_group_IT_number 123
_space_group_name_Hall '-P 4 2'
_cell_length_a 3.581
_cell_length_b 3.581
_cell_length_c 7.177
_cell_angle_alpha 90.00
_cell_angle_beta 90.00
_cell_angle_gamma 90.00
loop_
_atom_site_label
_atom_site_type_symbol
_atom_site_fract_x
_atom_site_fract_y
_atom_site_fract_z
Ho1 Ho 0.000 0.000 0.243
Zn1 Zn 0.500 0.500 0.000
Ag1 Ag 0.500 0.500 0.500
```

Its formation energy is -0.341 eV/atom.



3.
A plane-wave DFT calculation with GGA-PBE was carried out for an optimized crystal structure of RbNpZnF6.

CIF file:
```
data_RbNpZnF6
_chemical_formula_sum 'Rb4 Np4 Zn4 F24'
_space_group_name_H-M_alt 'I m m a'
_space_group_IT_number 74
_space_group_name_Hall '-I 2b 2'
_cell_length_a 7.504
_cell_length_b 7.884
_cell_length_c 10.441
_cell_angle_alpha 90.00
_cell_angle_beta 90.00
_cell_angle_gamma 90.00
loop_
_atom_site_label
_atom_site_type_symbol
_atom_site_fract_x
_atom_site_fract_y
_atom_site_fract_z
Rb1 Rb 0.000 0.250 0.084
Np1 Np 0.000 0.000 0.500
Zn1 Zn 0.250 0.250 0.750
F1 F 0.000 0.250 0.381
F2 F 0.000 0.250 0.661
F3 F 0.229 0.062 0.884
```

The formation energy from raw total energies comes out at -2.898 eV per atom.



4.
A plane-wave DFT calculation with GGA-PBE was carried out for an optimized crystal structure of Dy3Cu2Ni4.

CIF file:
```
data_Dy3Cu2Ni4
_chemical_formula_sum 'Dy6 Cu4 Ni8'
_space_group_name_H-M_alt 'C 1 2/m 1'
_space_group_IT_number 12
_cell_length_a 9.495
_cell_length_b 4.115
_cell_length_c 8.037
_cell_angle_alpha 90.00
_cell_angle_beta 100.33
_cell_angle_gamma 90.00
loop_
_space_group_symop_operation_xyz
'x,y,z'
'-x,-y,-z'
'-x,y,-z'
'x,-y,z'
'x+1/2,y+1/2,z'
'-x+1/2,-y+1/2,-z'
'-x+1/2,y+1/2,-z'
'x+1/2,-y+1/2,z'
loop_
_atom_site_label
_atom_site_type_symbol
_atom_site_fract_x
_atom_site_fract_y
_atom_site_fract_z
Dy1 Dy 0.000 0.000 0.000
Dy2 Dy 0.121 0.500 0.375
Cu1 Cu 0.190 0.500 0.770
Ni1 Ni 0.086 0.000 0.633
Ni2 Ni 0.230 0.500 0.081
```

Its formation energy is -0.369 eV/atom.



5.
A plane-wave DFT calculation with GGA-PBE was carried out for an optimized crystal structure of PrCdNiPd.

CIF file:
```
data_PrCdNiPd
_chemical_formula_sum 'Pr4 Cd4 Ni4 Pd4'
_space_group_name_H-M_alt 'F -4 3 m'
_space_group_IT_number 216
_space_group_name_Hall 'F -4 2 3'
_cell_length_a 6.849
_cell_length_b 6.849
_cell_length_c 6.849
_cell_angle_alpha 90.00
_cell_angle_beta 90.00
_cell_angle_gamma 90.00
loop_
_atom_site_label
_atom_site_type_symbol
_atom_site_fract_x
_atom_site_fract_y
_atom_site_fract_z
Pr1 Pr 0.000 0.000 0.000
Cd1 Cd 0.000 0.000 0.500
Ni1 Ni 0.250 0.250 0.750
Pd1 Pd 0.250 0.250 0.250
```

Its formation energy is -0.357 eV/atom.



6.
A plane-wave DFT calculation with GGA-PBE was carried out for an optimized crystal structure of TiIn2.

CIF file:
```
data_TiIn2
_chemical_formula_sum 'Ti4 In8'
_space_group_name_H-M_alt 'C 1 2/m 1'
_space_group_IT_number 12
_cell_length_a 11.018
_cell_length_b 3.092
_cell_length_c 8.612
_cell_angle_alpha 90.00
_cell_angle_beta 116.81
_cell_angle_gamma 90.00
loop_
_space_group_symop_operation_xyz
'x,y,z'
'-x,-y,-z'
'-x,y,-z'
'x,-y,z'
'x+1/2,y+1/2,z'
'-x+1/2,-y+1/2,-z'
'-x+1/2,y+1/2,-z'
'x+1/2,-y+1/2,z'
loop_
_atom_site_label
_atom_site_type_symbol
_atom_site_fract_x
_atom_site_fract_y
_atom_site_fract_z
Ti1 Ti 0.187 0.000 0.076
In1 In 0.015 0.500 0.217
In2 In 0.156 0.000 0.600
```

Its formation energy is -0.004 eV/atom.



7.
A plane-wave DFT calculation with GGA-PBE was carried out for an optimized crystal structure of ScNCl.

CIF file:
```
data_ScNCl
_chemical_formula_sum 'Sc4 N4 Cl4'
_space_group_name_H-M_alt 'C 1 2/m 1'
_space_group_IT_number 12
_cell_length_a 6.414
_cell_length_b 3.352
_cell_length_c 9.961
_cell_angle_alpha 90.00
_cell_angle_beta 99.10
_cell_angle_gamma 90.00
loop_
_space_group_symop_operation_xyz
'x,y,z'
'-x,-y,-z'
'-x,y,-z'
'x,-y,z'
'x+1/2,y+1/2,z'
'-x+1/2,-y+1/2,-z'
'-x+1/2,y+1/2,-z'
'x+1/2,-y+1/2,z'
loop_
_atom_site_label
_atom_site_type_symbol
_atom_site_fract_x
_atom_site_fract_y
_atom_site_fract_z
Sc1 Sc 0.087 0.000 0.363
N1 N 0.076 0.500 0.562
Cl1 Cl 0.202 0.500 0.191
```

The formation energy from raw total energies comes out at -1.568 eV per atom.



8.
A plane-wave DFT calculation with GGA-PBE was carried out for an optimized crystal structure of ErZn9Au3.

CIF file:
```
data_ErZn9Au3
_chemical_formula_sum 'Er2 Zn18 Au6'
_space_group_name_H-M_alt 'C 1 2/m 1'
_space_group_IT_number 12
_cell_length_a 5.538
_cell_length_b 12.670
_cell_length_c 6.825
_cell_angle_alpha 90.00
_cell_angle_beta 113.16
_cell_angle_gamma 90.00
loop_
_space_group_symop_operation_xyz
'x,y,z'
'-x,-y,-z'
'-x,y,-z'
'x,-y,z'
'x+1/2,y+1/2,z'
'-x+1/2,-y+1/2,-z'
'-x+1/2,y+1/2,-z'
'x+1/2,-y+1/2,z'
loop_
_atom_site_label
_atom_site_type_symbol
_atom_site_fract_x
_atom_site_fract_y
_atom_site_fract_z
Er1 Er 0.000 0.000 0.000
Zn1 Zn 0.000 0.500 0.500
Zn2 Zn 0.098 0.396 0.214
Zn3 Zn 0.181 0.176 0.358
Au1 Au 0.000 0.000 0.500
Au2 Au 0.250 0.250 0.000
```

Its formation energy is -0.220 eV/atom.



9.
A plane-wave DFT calculation with GGA-PBE was carried out for an optimized crystal structure of PuSc2Te4.

CIF file:
```
data_PuSc2Te4
_chemical_formula_sum 'Pu4 Sc8 Te16'
_space_group_name_H-M_alt 'C m c m'
_space_group_IT_number 63
_space_group_name_Hall '-C 2c 2'
_cell_length_a 4.196
_cell_length_b 13.722
_cell_length_c 14.404
_cell_angle_alpha 90.00
_cell_angle_beta 90.00
_cell_angle_gamma 90.00
loop_
_atom_site_label
_atom_site_type_symbol
_atom_site_fract_x
_atom_site_fract_y
_atom_site_fract_z
Pu1 Pu 0.000 0.119 0.250
Sc1 Sc 0.000 0.367 0.066
Te1 Te 0.000 0.000 0.000
Te2 Te 0.000 0.272 0.617
Te3 Te 0.000 0.448 0.250
```

The formation energy from raw total energies comes out at -1.153 eV per atom.



10.
A plane-wave DFT calculation with GGA-PBE was carried out for an optimized crystal structure of Ca2MnP.

CIF file:
```
data_Ca2MnP
_chemical_formula_sum 'Ca2 Mn1 P1'
_space_group_name_H-M_alt 'P 4/m m m'
_space_group_IT_number 123
_space_group_name_Hall '-P 4 2'
_cell_length_a 4.791
_cell_length_b 4.791
_cell_length_c 3.973
_cell_angle_alpha 90.00
_cell_angle_beta 90.00
_cell_angle_gamma 90.00
loop_
_atom_site_label
_atom_site_type_symbol
_atom_site_fract_x
_atom_site_fract_y
_atom_site_fract_z
Ca1 Ca 0.000 0.500 0.000
Mn1 Mn 0.000 0.000 0.500
P1 P 0.500 0.500 0.500
```

Its formation energy is -0.162 eV/atom.